Entry 1:
PBE Sr3ZnW, optimized geometry; total magnetic moment = 4.4 μB per cell; formation energy from the elements = 1.130 eV/atom
1.0
-5.8611 0.1577 -0.8844
0.5858 -3.7545 -4.5519
-0.6810 -4.5867 3.6956
Sr W Zn
3 1 1
direct
0.5000 0.0000 0.0000 Sr
0.0000 0.0000 0.5000 Sr
0.0000 0.5000 0.0000 Sr
0.5000 0.5000 0.5000 W
0.0000 0.0000 0.0000 Zn

=====

Entry 2:
PBE SrZnW2, optimized geometry; total magnetic moment = 0.0 μB per cell; formation energy from the elements = 0.965 eV/atom
1.0
5.7998 0.0028 -0.0020
2.3352 5.3090 0.0020
-3.3015 -3.8291 2.8420
W Zn Sr
2 1 1
direct
0.7696 0.2696 0.5000 W
0.9540 0.9540 0.0000 W
0.5318 0.5318 0.0000 Zn
0.2446 0.7446 0.5000 Sr

=====

Entry 3:
PBE Sr2ZnW, optimized geometry; total magnetic moment = 1.2 μB per cell; formation energy from the elements = 0.918 eV/atom
1.0
8.7969 -0.0029 -0.0082
-3.8196 4.3758 0.0349
1.1576 0.9898 2.8022
Sr Zn W
2 1 1
direct
0.0000 0.0000 0.0000 Sr
0.5000 0.0000 0.5000 Sr
0.5000 0.5000 0.0000 Zn
0.0000 0.5000 0.5000 W

=====

Entry 4:
PBE SrZnW2, optimized geometry; total magnetic moment = 0.0 μB per cell; formation energy from the elements = 0.671 eV/atom
1.0
2.8823 0.0002 0.0000
-0.8599 2.7510 0.0000
0.0000 0.0000 9.6730
W Sr Zn
2 1 1
direct
0.0000 0.0000 0.0358 W
0.5000 0.5000 0.2473 W
0.5000 0.5000 0.7480 Sr
0.0000 0.0000 0.4688 Zn

=====

Number 1: E above lowest polymorph 2.16 kcal/mol of atoms. Number 2: E above lowest polymorph 10.97 kcal/mol of atoms. Number 3: E above lowest polymorph 6.21 kcal/mol of atoms. Number 4: E above lowest polymorph 4.18 kcal/mol of atoms.